## Rb5PuTe5 (PBE)

Data for a relaxed Rb5PuTe5 crystal.

For the uncorrected formation energy, the calculation gives -0.866 eV/atom.

The space group is C2/m (No. 12) and the conventional cell measures 16.8555, 6.8265 and 9.9327 Å, with angles of 90.00, 109.22 and 90.00 degrees. The distinct sites, in fractional coordinates, are Rb at (0.0000, 0.0000, 0.0000), Rb at (0.1764, 0.5000, 0.3471), Rb at (0.1988, 0.5000, 0.8122), Pu at (0.0000, 0.0000, 0.5000), Te at (0.0000, 0.5000, 0.5000), Te at (0.1311, 0.0000, 0.3551) and Te at (0.1391, 0.0000, 0.7908).

---

## PrDy2Rh9 (PBE)

Data for a relaxed PrDy2Rh9 crystal.

The space group is R-3m (No. 166, hexagonal axes) and the conventional cell measures 5.2951, 5.2951 and 26.2923 Å, with angles of 90.00, 90.00 and 120.00 degrees. The distinct sites, in fractional coordinates, are Pr at (0.0000, 0.0000, 0.0000), Dy at (0.0000, 0.0000, 0.1394), Rh at (0.0000, 0.0000, 0.3330), Rh at (0.0000, 0.0000, 0.5000) and Rh at (0.9995, 0.4998, 0.0832).

---

| no. | energy (eV/cell) | D(E_F) (states/eV/f.u.) |
| --- | --- | --- |
| 1 | -88.81 | 13.395 |
| 2 | -260.44 | 13.753 |